The following is a DFT calculation (GGA+U) of a geometry-optimized Li3CoF6 structure.

```
Li3CoF6
1.0
4.282 2.472 3.376
-4.282 2.472 3.376
0.000 -4.945 3.376
Li Co F
6 2 12
Direct
0.058 0.751 0.564
0.249 0.436 0.942
0.436 0.942 0.249
0.564 0.058 0.751
0.751 0.564 0.058
0.942 0.249 0.436
0.000 0.000 0.000
0.500 0.500 0.500
0.051 0.696 0.900
0.100 0.949 0.304
0.197 0.420 0.571
0.304 0.100 0.949
0.420 0.571 0.197
0.429 0.803 0.580
0.571 0.197 0.420
0.580 0.429 0.803
0.696 0.900 0.051
0.803 0.580 0.429
0.900 0.051 0.696
0.949 0.304 0.100
```

Summary:
energy relative to the lowest polymorph listed for this composition	0.00	eV/f.u.